(1)
This record from Alexandria via LeMat-Bulk describes crystalline CrTcPCl2 at its relaxed geometry. The functional is GGA-PBE.

Computed properties:
E above lowest polymorph = 0.0 meV per atom
formation energy from raw total energies = 0.433 eV per atom
E = -26.93 eV for the cell shown
DOS at the Fermi energy = 1.010 states/eV per atom
crystal system = tetragonal
calculated volume = 22.3 A^3/atom

Cell lengths 4.935, 4.935, 4.573 Å; angles 90.00, 90.00, 90.00 degrees
Fractional coordinates of all 5 atoms:
Cr1 0.000 0.000 0.000
Tc1 0.500 0.500 0.500
P1 0.500 0.500 0.000
Cl1 0.000 0.500 0.500
Cl2 0.500 0.000 0.500

=====

(2)
This record from Alexandria via LeMat-Bulk describes crystalline Ho4Er4Sc3 at its relaxed geometry. The functional is GGA-PBE.

Computed properties:
E = -53.57 eV for the cell shown
DOS at the Fermi energy = 1.691 states/eV per atom
DFT formation energy = 17.43 kJ/mol of atoms
crystal system = orthorhombic
calculated volume = 29.6 A^3/atom

Cell lengths 10.321, 6.402, 6.402 Å; angles 50.36, 90.00, 90.00 degrees
Fractional coordinates of all 11 atoms:
Ho1 0.000 0.000 0.000
Ho2 0.205 0.798 0.798
Ho3 0.500 0.924 0.924
Ho4 0.795 0.798 0.798
Er1 0.000 0.590 0.590
Er2 0.293 0.139 0.139
Er3 0.500 0.644 0.644
Er4 0.707 0.139 0.139
Sc1 0.000 0.298 0.298
Sc2 0.281 0.447 0.447
Sc3 0.719 0.447 0.447

=====

- Among the records above, which one has the lowest calculated volume?
  CrTcPCl2

=====

- The highest DOS at the Fermi energy belongs to which entry?
  Ho4Er4Sc3

=====

- Which value of calculated volume does entry 1 give?
  22.3 A^3/atom